1.
# KLiC3 (PBE, relaxed)
data_KLiC3
_symmetry_space_group_name_H-M 'P m -3 m'
_symmetry_Int_Tables_number 221
_symmetry_space_group_name_Hall '-P 4 2 3'
_cell_length_a 5.528
_cell_length_b 5.528
_cell_length_c 5.528
_cell_angle_alpha 90.00
_cell_angle_beta 90.00
_cell_angle_gamma 90.00
loop_
_atom_site_label
_atom_site_type_symbol
_atom_site_fract_x
_atom_site_fract_y
_atom_site_fract_z
K1 K 0.000 0.000 0.000
Li1 Li 0.500 0.500 0.500
C1 C 0.000 0.000 0.500
# Total moment = 8.000 μB per cell


2.
# KLiC3 (PBE, relaxed)
data_KLiC3
_symmetry_space_group_name_H-M 'P m -3 m'
_symmetry_Int_Tables_number 221
_symmetry_space_group_name_Hall '-P 4 2 3'
_cell_length_a 4.035
_cell_length_b 4.035
_cell_length_c 4.035
_cell_angle_alpha 90.00
_cell_angle_beta 90.00
_cell_angle_gamma 90.00
loop_
_atom_site_label
_atom_site_type_symbol
_atom_site_fract_x
_atom_site_fract_y
_atom_site_fract_z
K1 K 0.000 0.000 0.000
Li1 Li 0.500 0.500 0.500
C1 C 0.000 0.500 0.500
# Total moment = 0.000 μB per cell


Unit: eV/atom. Relative energies: 1 0.937; 2 0.000.


1.
# KMg6C (PBE, relaxed)
data_KMg6C
_symmetry_space_group_name_H-M 'A m m 2'
_symmetry_Int_Tables_number 38
_symmetry_space_group_name_Hall 'A 2 -2'
_cell_length_a 3.153
_cell_length_b 8.716
_cell_length_c 14.875
_cell_angle_alpha 90.00
_cell_angle_beta 90.00
_cell_angle_gamma 90.00
loop_
_atom_site_label
_atom_site_type_symbol
_atom_site_fract_x
_atom_site_fract_y
_atom_site_fract_z
K1 K 0.000 0.000 0.000
Mg1 Mg 0.000 0.181 0.252
Mg2 Mg 0.500 0.000 0.417
Mg3 Mg 0.500 0.000 0.780
Mg4 Mg 0.500 0.154 0.589
C1 C 0.000 0.000 0.526
# Total moment = 0.000 μB per cell


2.
# KMg6C (PBE, relaxed)
data_KMg6C
_symmetry_space_group_name_H-M 'A m m 2'
_symmetry_Int_Tables_number 38
_symmetry_space_group_name_Hall 'A 2 -2'
_cell_length_a 3.361
_cell_length_b 8.206
_cell_length_c 13.992
_cell_angle_alpha 90.00
_cell_angle_beta 90.00
_cell_angle_gamma 90.00
loop_
_atom_site_label
_atom_site_type_symbol
_atom_site_fract_x
_atom_site_fract_y
_atom_site_fract_z
K1 K 0.000 0.000 0.000
Mg1 Mg 0.000 0.000 0.559
Mg2 Mg 0.000 0.172 0.214
Mg3 Mg 0.500 0.000 0.757
Mg4 Mg 0.500 0.170 0.383
C1 C 0.500 0.000 0.247
# Total moment = 0.287 μB per cell


Unit: eV/atom. Relative energies: 1 0.040; 2 0.000.


1.
# K2MgC (PBE, relaxed)
data_K2MgC
_symmetry_space_group_name_H-M 'I -4 2 d'
_symmetry_Int_Tables_number 122
_symmetry_space_group_name_Hall 'I -4 2bw'
_cell_length_a 11.957
_cell_length_b 11.957
_cell_length_c 4.184
_cell_angle_alpha 90.00
_cell_angle_beta 90.00
_cell_angle_gamma 90.00
loop_
_atom_site_label
_atom_site_type_symbol
_atom_site_fract_x
_atom_site_fract_y
_atom_site_fract_z
K1 K 0.051 0.250 0.125
Mg1 Mg 0.000 0.000 0.500
C1 C 0.000 0.000 0.000
# Total moment = 0.000 μB per cell


2.
# K2MgC (PBE, relaxed)
data_K2MgC
_symmetry_space_group_name_H-M 'F m -3 m'
_symmetry_Int_Tables_number 225
_symmetry_space_group_name_Hall '-F 4 2 3'
_cell_length_a 8.054
_cell_length_b 8.054
_cell_length_c 8.054
_cell_angle_alpha 90.00
_cell_angle_beta 90.00
_cell_angle_gamma 90.00
loop_
_atom_site_label
_atom_site_type_symbol
_atom_site_fract_x
_atom_site_fract_y
_atom_site_fract_z
K1 K 0.250 0.250 0.250
Mg1 Mg 0.000 0.000 0.000
C1 C 0.000 0.000 0.500
# Total moment = 8.000 μB per cell


Unit: eV/atom. Relative energies: 1 0.000; 2 0.676.


1.
# KMgC (PBE, relaxed)
data_KMgC
_symmetry_space_group_name_H-M 'P 1 2/m 1'
_symmetry_Int_Tables_number 10
_symmetry_space_group_name_Hall '-P 2y'
_cell_length_a 7.020
_cell_length_b 3.918
_cell_length_c 7.208
_cell_angle_alpha 90.00
_cell_angle_beta 108.23
_cell_angle_gamma 90.00
loop_
_atom_site_label
_atom_site_type_symbol
_atom_site_fract_x
_atom_site_fract_y
_atom_site_fract_z
K1 K 0.212 0.000 0.266
Mg1 Mg 0.332 0.500 0.803
C1 C 0.457 0.500 0.564
# Total moment = 0.000 μB per cell


2.
# KMgC (PBE, relaxed)
data_KMgC
_symmetry_space_group_name_H-M 'C 1 2/m 1'
_symmetry_Int_Tables_number 12
_symmetry_space_group_name_Hall '-C 2y'
_cell_length_a 9.086
_cell_length_b 5.218
_cell_length_c 7.387
_cell_angle_alpha 90.00
_cell_angle_beta 114.13
_cell_angle_gamma 90.00
loop_
_atom_site_label
_atom_site_type_symbol
_atom_site_fract_x
_atom_site_fract_y
_atom_site_fract_z
K1 K 0.115 0.000 0.343
Mg1 Mg 0.141 0.500 0.925
C1 C 0.031 0.500 0.594
# Total moment = 0.000 μB per cell


3.
# KMgC (PBE, relaxed)
data_KMgC
_symmetry_space_group_name_H-M 'C 1 m 1'
_symmetry_Int_Tables_number 8
_symmetry_space_group_name_Hall 'C -2y'
_cell_length_a 11.395
_cell_length_b 3.740
_cell_length_c 8.698
_cell_angle_alpha 90.00
_cell_angle_beta 123.85
_cell_angle_gamma 90.00
loop_
_atom_site_label
_atom_site_type_symbol
_atom_site_fract_x
_atom_site_fract_y
_atom_site_fract_z
K1 K 0.000 0.000 0.000
K2 K 0.138 0.000 0.722
Mg1 Mg 0.222 0.500 0.420
Mg2 Mg 0.398 0.000 0.282
C1 C 0.244 0.500 0.185
C2 C 0.268 0.500 0.057
# Total moment = 0.000 μB per cell


4.
# KMgC (PBE, relaxed)
data_KMgC
_symmetry_space_group_name_H-M 'C 1 2/m 1'
_symmetry_Int_Tables_number 12
_symmetry_space_group_name_Hall '-C 2y'
_cell_length_a 15.290
_cell_length_b 4.688
_cell_length_c 5.450
_cell_angle_alpha 90.00
_cell_angle_beta 91.61
_cell_angle_gamma 90.00
loop_
_atom_site_label
_atom_site_type_symbol
_atom_site_fract_x
_atom_site_fract_y
_atom_site_fract_z
K1 K 0.162 0.000 0.224
Mg1 Mg 0.041 0.500 0.748
C1 C 0.000 0.136 0.500
# Total moment = 0.000 μB per cell


Unit: eV/atom. Relative energies: 1 0.073; 2 0.000; 3 0.066; 4 0.057.